Computed, not measured: crystalline NaIn2GeRh at its relaxed geometry at the PBE level of DFT.

Total magnetization: 0.000 μB/atom
DFT formation energy: -95 meV per atom

Lattice parameters (Å, degrees): 5.215 5.215 4.763 90.00 90.00 90.00
Fractional coordinates of all 5 atoms:
Na 0.000 0.000 0.000
In 0.000 0.500 0.500
In 0.500 0.000 0.500
Ge 0.500 0.500 0.000
Rh 0.500 0.500 0.500


Computed, not measured: crystalline CsBaLa2B at its relaxed geometry at the PBE level of DFT.

Total magnetization: 0.000 μB/atom
DFT formation energy: 1401 meV per atom

Lattice parameters (Å, degrees): 6.095 6.095 5.113 90.00 90.00 90.00
Fractional coordinates of all 5 atoms:
Cs 0.000 0.000 0.000
Ba 0.500 0.500 0.500
La 0.000 0.500 0.000
La 0.500 0.000 0.000
B 0.000 0.000 0.500


Taking the records one at a time from the top gives DFT total energy values of -3.848; -2.460 eV/atom.